No. 1
VASP calculation (PBE) on a geometry-optimized Hg2GeMoH structure.

```
Hg2GeMoH
1.0
4.9466 0.0000 0.0000
0.0000 4.9466 0.0000
0.0000 0.0000 3.4188
Hg Ge Mo H
2 1 1 1
Direct
0.0000 0.5000 0.0000
0.5000 0.0000 0.0000
0.0000 0.0000 0.5000
0.5000 0.5000 0.5000
0.0000 0.0000 0.0000
```

## Properties
calculated total energy	-3.1112	eV per atom

***

No. 2
VASP calculation (PBE) on a geometry-optimized NbFe2Tc structure.

```
NbFe2Tc
1.0
-1.8003 1.8003 9.4789
1.8003 -1.8003 9.4789
1.8003 1.8003 -9.4789
Nb Fe Tc
2 4 2
Direct
0.0000 0.0000 0.0000
0.7500 0.2500 0.5000
0.1350 0.6250 0.0100
0.3750 0.3850 0.5100
0.6150 0.1250 0.9900
0.8750 0.8650 0.4900
0.2500 0.7500 0.5000
0.5000 0.5000 0.0000
```

## Properties
energy above the lowest structure with this stoichiometry	0.522	eV/atom
formation energy from the elements	54	kJ/mol of atoms

***

No. 3
VASP calculation (PBE) on a geometry-optimized NbFe2Ni9 structure.

```
NbFe2Ni9
1.0
3.6006 0.0000 0.0000
0.0000 3.6006 0.0000
0.0000 0.0000 10.7475
Nb Fe Ni
1 2 9
Direct
0.0000 0.0000 0.0000
0.0000 0.0000 0.3400
0.0000 0.0000 0.6600
0.0000 0.5000 0.1738
0.0000 0.5000 0.5000
0.0000 0.5000 0.8262
0.5000 0.0000 0.1738
0.5000 0.0000 0.5000
0.5000 0.0000 0.8262
0.5000 0.5000 0.0000
0.5000 0.5000 0.3365
0.5000 0.5000 0.6635
```

## Properties
formation energy from the elements	-13	kJ/mol of atoms